# PBE+U Sr2CoGe2O7, optimized geometry
# DFT total energy ... -155.62 eV for the cell shown
data_Sr2CoGe2O7
_symmetry_space_group_name_H-M 'P 1'
_symmetry_Int_Tables_number 1
_cell_length_a 8.143
_cell_length_b 8.143
_cell_length_c 5.306
_cell_angle_alpha 90.00
_cell_angle_beta 90.00
_cell_angle_gamma 90.00
loop_
_symmetry_equiv_pos_as_xyz
'x,y,z'
loop_
_atom_site_label
_atom_site_type_symbol
_atom_site_fract_x
_atom_site_fract_y
_atom_site_fract_z
Co1 Co 0.000 0.000 0.000
Co2 Co 0.500 0.500 0.000
Ge1 Ge 0.144 0.356 0.049
Ge2 Ge 0.856 0.644 0.049
Ge3 Ge 0.644 0.144 0.951
Ge4 Ge 0.356 0.856 0.951
O1 O 0.000 0.500 0.184
O2 O 0.081 0.178 0.214
O3 O 0.322 0.419 0.214
O4 O 0.678 0.581 0.214
O5 O 0.919 0.822 0.214
O6 O 0.639 0.139 0.278
O7 O 0.361 0.861 0.278
O8 O 0.139 0.361 0.722
O9 O 0.861 0.639 0.722
O10 O 0.822 0.081 0.786
O11 O 0.581 0.322 0.786
O12 O 0.419 0.678 0.786
O13 O 0.178 0.919 0.786
O14 O 0.500 0.000 0.816
Sr1 Sr 0.335 0.165 0.494
Sr2 Sr 0.665 0.835 0.494
Sr3 Sr 0.835 0.335 0.506
Sr4 Sr 0.165 0.665 0.506